Compound: Nd2SbS
Source: Alexandria
Functional: PBE
Structure: relaxed

The structure in POSCAR format:
```
Nd2SbS
1.0
-2.357 -3.559 -0.422
6.133 -3.937 -1.044
0.481 -1.183 7.290
Sb Nd S
2 4 2
Direct
0.750 0.750 0.416
0.250 0.250 0.584
0.250 0.004 0.231
0.250 0.496 0.231
0.750 0.504 0.769
0.750 0.996 0.769
0.750 0.250 0.082
0.250 0.750 0.918
```

Output
- Calculated volume: 234 Å³/cell
- Polymorph energy (0 for the lowest one): 0.121 eV per atom
- Formation energy (no corrections): -1448 meV/atom
- Calculated total energy: -47.15 eV/cell
- Spin magnetization: 0.00 μB per formula unit